# GGA-PBE Tb2Nd6DyHo, relaxed
# SG: C2/c, No. 15
data_Tb2Nd6DyHo
_chemical_formula_sum 'Tb4 Nd12 Dy2 Ho2'
_cell_length_a 9.6816
_cell_length_b 8.9705
_cell_length_c 8.9705
_cell_angle_alpha 117.89
_cell_angle_beta 93.92
_cell_angle_gamma 93.92
_space_group_name_H-M_alt 'P 1'
_space_group_IT_number 1
loop_
_space_group_symop_operation_xyz
'x,y,z'
loop_
_atom_site_label
_atom_site_type_symbol
_atom_site_fract_x
_atom_site_fract_y
_atom_site_fract_z
Ho1 Ho 0.2500 0.4106 0.5894
Tb1 Tb 0.4547 0.8004 0.7021
Nd1 Nd 0.8117 0.4339 0.9893
Ho2 Ho 0.7500 0.5894 0.4106
Nd2 Nd 0.5542 0.7612 0.1179
Nd3 Nd 0.3117 0.9893 0.4339
Nd4 Nd 0.6181 0.4919 0.7081
Dy1 Dy 0.7500 0.0266 0.9734
Nd5 Nd 0.0542 0.1179 0.7612
Nd6 Nd 0.6883 0.0107 0.5661
Tb2 Tb 0.5453 0.1996 0.2979
Dy2 Dy 0.2500 0.9734 0.0266
Nd7 Nd 0.1181 0.7081 0.4919
Nd8 Nd 0.9458 0.8821 0.2388
Nd9 Nd 0.8819 0.2919 0.5081
Tb3 Tb 0.0453 0.2979 0.1996
Tb4 Tb 0.9547 0.7021 0.8004
Nd10 Nd 0.4458 0.2388 0.8821
Nd11 Nd 0.3819 0.5081 0.2919
Nd12 Nd 0.1883 0.5661 0.0107

=====

# GGA-PBE TbNd2Dy2Ho, relaxed
# SG: Pmma, No. 51
data_TbNd2Dy2Ho
_chemical_formula_sum 'Tb2 Nd4 Dy4 Ho2'
_cell_length_a 5.6657
_cell_length_b 7.0147
_cell_length_c 9.8266
_cell_angle_alpha 90.00
_cell_angle_beta 90.00
_cell_angle_gamma 90.00
_space_group_name_H-M_alt 'P 1'
_space_group_IT_number 1
loop_
_space_group_symop_operation_xyz
'x,y,z'
loop_
_atom_site_label
_atom_site_type_symbol
_atom_site_fract_x
_atom_site_fract_y
_atom_site_fract_z
Nd1 Nd 0.0000 0.2574 0.1744
Dy1 Dy 0.0000 0.7575 0.1639
Dy2 Dy 0.0000 0.2575 0.8361
Dy3 Dy 0.5000 0.2577 0.3327
Ho1 Ho 0.5000 0.7578 0.3386
Dy4 Dy 0.5000 0.7577 0.6673
Tb1 Tb 0.0000 0.0077 0.5001
Nd2 Nd 0.5000 0.5075 0.0001
Ho2 Ho 0.5000 0.2578 0.6614
Tb2 Tb 0.0000 0.5077 0.4999
Nd3 Nd 0.0000 0.7574 0.8256
Nd4 Nd 0.5000 0.0075 0.9999

=====

# GGA-PBE Tb2NdDyHo, relaxed
# SG: Cmcm, No. 63
data_Tb2NdDyHo
_chemical_formula_sum 'Tb4 Nd2 Dy2 Ho2'
_cell_length_a 7.1955
_cell_length_b 8.4121
_cell_length_c 7.1286
_cell_angle_alpha 126.16
_cell_angle_beta 90.00
_cell_angle_gamma 90.00
_space_group_name_H-M_alt 'P 1'
_space_group_IT_number 1
loop_
_space_group_symop_operation_xyz
'x,y,z'
loop_
_atom_site_label
_atom_site_type_symbol
_atom_site_fract_x
_atom_site_fract_y
_atom_site_fract_z
Tb1 Tb 0.5000 0.3097 0.0000
Ho1 Ho 0.7500 0.7263 0.4526
Tb2 Tb 0.0000 0.6903 0.0000
Dy1 Dy 0.2500 0.9953 0.9906
Nd1 Nd 0.7500 0.2735 0.5470
Tb3 Tb 0.0000 0.3097 0.0000
Ho2 Ho 0.2500 0.2737 0.5474
Dy2 Dy 0.7500 0.0047 0.0094
Tb4 Tb 0.5000 0.6903 0.0000
Nd2 Nd 0.2500 0.7265 0.4530

=====

# GGA-PBE Tb6NdDy3Ho2, relaxed
# SG: C2/m, No. 12
data_Tb6NdDy3Ho2
_chemical_formula_sum 'Tb6 Nd1 Dy3 Ho2'
_cell_length_a 6.1603
_cell_length_b 6.1603
_cell_length_c 11.8011
_cell_angle_alpha 94.96
_cell_angle_beta 94.96
_cell_angle_gamma 119.95
_space_group_name_H-M_alt 'P 1'
_space_group_IT_number 1
loop_
_space_group_symop_operation_xyz
'x,y,z'
loop_
_atom_site_label
_atom_site_type_symbol
_atom_site_fract_x
_atom_site_fract_y
_atom_site_fract_z
Tb1 Tb 0.9156 0.5816 0.7488
Tb2 Tb 0.4184 0.0844 0.2512
Tb3 Tb 0.7502 0.7502 0.2510
Dy1 Dy 0.1669 0.8331 0.5000
Ho1 Ho 0.6667 0.3333 0.0000
Dy2 Dy 0.5000 0.5000 0.5000
Tb4 Tb 0.2498 0.2498 0.7490
Dy3 Dy 0.8331 0.1669 0.5000
Tb5 Tb 0.5816 0.9156 0.7488
Ho2 Ho 0.3333 0.6667 0.0000
Nd1 Nd 0.0000 0.0000 0.0000
Tb6 Tb 0.0844 0.4184 0.2512

=====

# GGA-PBE Tb2Nd4Dy2Ho, relaxed
# SG: C2/m, No. 12
data_Tb2Nd4Dy2Ho
_chemical_formula_sum 'Tb2 Nd4 Dy2 Ho1'
_cell_length_a 5.1013
_cell_length_b 8.0731
_cell_length_c 8.0510
_cell_angle_alpha 107.53
_cell_angle_beta 90.00
_cell_angle_gamma 108.42
_space_group_name_H-M_alt 'P 1'
_space_group_IT_number 1
loop_
_space_group_symop_operation_xyz
'x,y,z'
loop_
_atom_site_label
_atom_site_type_symbol
_atom_site_fract_x
_atom_site_fract_y
_atom_site_fract_z
Nd1 Nd 0.5543 0.1085 0.3312
Nd2 Nd 0.7775 0.5549 0.6682
Nd3 Nd 0.4457 0.8915 0.6688
Dy1 Dy 0.6669 0.3338 0.9997
Tb1 Tb 0.8886 0.7773 0.3303
Dy2 Dy 0.3331 0.6662 0.0003
Ho1 Ho 0.0000 0.0000 0.0000
Nd4 Nd 0.2225 0.4451 0.3318
Tb2 Tb 0.1114 0.2227 0.6697

=====

# GGA-PBE TbNd2Dy4Ho, relaxed
# SG: Imma, No. 74
data_TbNd2Dy4Ho
_chemical_formula_sum 'Tb2 Nd4 Dy8 Ho2'
_cell_length_a 9.5206
_cell_length_b 9.5205
_cell_length_c 11.8271
_cell_angle_alpha 128.40
_cell_angle_beta 128.40
_cell_angle_gamma 88.38
_space_group_name_H-M_alt 'P 1'
_space_group_IT_number 1
loop_
_space_group_symop_operation_xyz
'x,y,z'
loop_
_atom_site_label
_atom_site_type_symbol
_atom_site_fract_x
_atom_site_fract_y
_atom_site_fract_z
Dy1 Dy 0.7521 0.7492 0.5044
Dy2 Dy 0.7508 0.7479 0.9956
Dy3 Dy 0.2528 0.7448 0.4987
Dy4 Dy 0.7552 0.2472 0.0013
Nd1 Nd 0.5000 0.0000 0.5000
Dy5 Dy 0.2492 0.2521 0.0044
Nd2 Nd 0.5000 0.0000 0.0000
Tb1 Tb 0.0000 0.5000 0.5000
Tb2 Tb 0.0000 0.5000 0.0000
Nd3 Nd 0.0000 0.0000 0.5000
Dy6 Dy 0.2479 0.2508 0.4956
Ho1 Ho 0.0000 0.0000 0.0000
Ho2 Ho 0.5000 0.5000 0.5000
Dy7 Dy 0.7472 0.2552 0.5013
Nd4 Nd 0.5000 0.5000 0.0000
Dy8 Dy 0.2448 0.7528 0.9987

=====

# GGA-PBE Tb3NdDy6Ho2, relaxed
# SG: C2/m, No. 12
data_Tb3NdDy6Ho2
_chemical_formula_sum 'Tb3 Nd1 Dy6 Ho2'
_cell_length_a 6.1522
_cell_length_b 6.1522
_cell_length_c 11.7805
_cell_angle_alpha 94.97
_cell_angle_beta 94.97
_cell_angle_gamma 119.96
_space_group_name_H-M_alt 'P 1'
_space_group_IT_number 1
loop_
_space_group_symop_operation_xyz
'x,y,z'
loop_
_atom_site_label
_atom_site_type_symbol
_atom_site_fract_x
_atom_site_fract_y
_atom_site_fract_z
Tb1 Tb 0.1670 0.8330 0.5000
Dy1 Dy 0.7498 0.7498 0.2505
Nd1 Nd 0.0000 0.0000 0.0000
Dy2 Dy 0.2502 0.2502 0.7495
Tb2 Tb 0.5000 0.5000 0.5000
Dy3 Dy 0.9160 0.5820 0.7494
Dy4 Dy 0.4180 0.0840 0.2506
Ho1 Ho 0.3333 0.6667 0.0000
Ho2 Ho 0.6667 0.3333 0.0000
Dy5 Dy 0.5820 0.9160 0.7494
Dy6 Dy 0.0840 0.4180 0.2506
Tb3 Tb 0.8330 0.1670 0.5000

=====

# GGA-PBE Tb6NdDy2Ho, relaxed
# SG: C2/c, No. 15
data_Tb6NdDy2Ho
_chemical_formula_sum 'Tb12 Nd2 Dy4 Ho2'
_cell_length_a 9.5746
_cell_length_b 8.7995
_cell_length_c 8.7995
_cell_angle_alpha 117.75
_cell_angle_beta 93.76
_cell_angle_gamma 93.76
_space_group_name_H-M_alt 'P 1'
_space_group_IT_number 1
loop_
_space_group_symop_operation_xyz
'x,y,z'
loop_
_atom_site_label
_atom_site_type_symbol
_atom_site_fract_x
_atom_site_fract_y
_atom_site_fract_z
Dy1 Dy 0.4543 0.8008 0.6971
Tb1 Tb 0.3165 0.9830 0.4339
Tb2 Tb 0.1835 0.5661 0.0170
Nd1 Nd 0.2500 0.9752 0.0248
Ho1 Ho 0.2500 0.4092 0.5908
Tb3 Tb 0.4436 0.2500 0.8779
Ho2 Ho 0.7500 0.5908 0.4092
Tb4 Tb 0.9436 0.8779 0.2500
Nd2 Nd 0.7500 0.0248 0.9752
Tb5 Tb 0.1193 0.7078 0.4915
Dy2 Dy 0.5457 0.1992 0.3029
Tb6 Tb 0.8807 0.2922 0.5085
Dy3 Dy 0.9543 0.6971 0.8008
Tb7 Tb 0.0564 0.1221 0.7500
Tb8 Tb 0.6835 0.0170 0.5661
Tb9 Tb 0.3807 0.5085 0.2922
Tb10 Tb 0.5564 0.7500 0.1221
Tb11 Tb 0.6193 0.4915 0.7078
Dy4 Dy 0.0457 0.3029 0.1992
Tb12 Tb 0.8165 0.4339 0.9830

=====

Raw total energy in eV for the cell shown, matching the order above: -91.78, -55.11, -42.54, -55.33, -41.94, -67.55, -55.24, -90.29